DFT (GGA-PBE) results for SiSb2Pb after structural relaxation.

ΔE_f (raw), eV/atom: 0.218
ΔE to the lowest computed polymorph, meV/atom: 29.9
V, Å³/f.u.: 108.9

Unit cell a=6.004 b=8.976 c=4.040 alpha=90.00 beta=90.00 gamma=90.00
Space group Cmmm (No. 65)
Asymmetric unit:
Si: 0.000 0.000 0.000 (multiplicity 2)
Sb: 0.000 0.215 0.500 (multiplicity 4)
Pb: 0.000 0.500 0.000 (multiplicity 2)

=====

DFT (GGA-PBE) results for SiSbPb2 after structural relaxation.

ΔE_f (raw), eV/atom: 0.386
ΔE to the lowest computed polymorph, meV/atom: 186.5
V, Å³/f.u.: 108.5

Unit cell a=3.4925 b=3.4925 c=30.8070 alpha=90.00 beta=90.00 gamma=120.00
Space group R-3m (No. 166, hexagonal axes)
Asymmetric unit:
Si: 0.0000 0.0000 0.0000 (multiplicity 3)
Sb: 0.0000 0.0000 0.5000 (multiplicity 3)
Pb: 0.0000 0.0000 0.2588 (multiplicity 6)

=====

DFT (GGA-PBE) results for SiSbPb2 after structural relaxation.

ΔE_f (raw), eV/atom: 0.365
ΔE to the lowest computed polymorph, meV/atom: 165.3
V, Å³/f.u.: 108.9

Unit cell a=5.121 b=5.121 c=4.151 alpha=90.00 beta=90.00 gamma=90.00
Space group P4/mmm (No. 123)
Asymmetric unit:
Si: 0.000 0.000 0.000 (multiplicity 1)
Sb: 0.500 0.500 0.000 (multiplicity 1)
Pb: 0.000 0.500 0.500 (multiplicity 2)

=====

DFT (GGA-PBE) results for SiSb2Pb after structural relaxation.

ΔE_f (raw), eV/atom: 0.218
ΔE to the lowest computed polymorph, meV/atom: 30.2
V, Å³/f.u.: 126.3

Unit cell a=7.485 b=7.485 c=9.017 alpha=90.00 beta=90.00 gamma=90.00
Space group I-42d (No. 122)
Asymmetric unit:
Si: 0.000 0.000 0.000 (multiplicity 4)
Sb: 0.187 0.250 0.125 (multiplicity 8)
Pb: 0.000 0.000 0.500 (multiplicity 4)

=====

> What is the ΔE to the lowest computed polymorph in the second record?

186.5 meV/atom

=====

> Which value of ΔE to the lowest computed polymorph does entry 4 give?

30.2 meV/atom

=====

Copy entry 2 word for word.
DFT (GGA-PBE) results for SiSbPb2 after structural relaxation.

ΔE_f (raw), eV/atom: 0.386
ΔE to the lowest computed polymorph, meV/atom: 186.5
V, Å³/f.u.: 108.5

Unit cell a=3.4925 b=3.4925 c=30.8070 alpha=90.00 beta=90.00 gamma=120.00
Space group R-3m (No. 166, hexagonal axes)
Asymmetric unit:
Si: 0.0000 0.0000 0.0000 (multiplicity 3)
Sb: 0.0000 0.0000 0.5000 (multiplicity 3)
Pb: 0.0000 0.0000 0.2588 (multiplicity 6)